[1]
The following is a DFT calculation (PBE) of Pm2Ho2Er5 after structural relaxation.

CIF file:
```
data_Pm2Ho2Er5
_chemical_formula_sum 'Pm4 Ho4 Er10'
_symmetry_space_group_name_H-M 'C 1 2/m 1'
_symmetry_Int_Tables_number 12
_cell_length_a 18.5413
_cell_length_b 3.5844
_cell_length_c 8.7968
_cell_angle_alpha 90.00
_cell_angle_beta 103.50
_cell_angle_gamma 90.00
loop_
_symmetry_equiv_pos_as_xyz
'x,y,z'
'-x,-y,-z'
'-x,y,-z'
'x,-y,z'
'x+1/2,y+1/2,z'
'-x+1/2,-y+1/2,-z'
'-x+1/2,y+1/2,-z'
'x+1/2,-y+1/2,z'
loop_
_atom_site_label
_atom_site_fract_x
_atom_site_fract_y
_atom_site_fract_z
Pm1 0.0925 0.0000 0.3343
Ho1 0.1671 0.0000 0.9998
Er1 0.0000 0.5000 0.0000
Er2 0.0755 0.5000 0.6687
Er3 0.2402 0.0000 0.6674
```

Computed properties:
Formation enthalpy at 0 K, eV/atom: 0.01
Excess energy over the best structure of this formula in the dataset, eV per atom: 0.000
VASP energy, eV/atom: -4.60


[2]
The following is a DFT calculation (PBE) of La4SeI2N after structural relaxation.

CIF file:
```
data_La4SeI2N
_chemical_formula_sum 'La4 Se1 I2 N1'
_symmetry_space_group_name_H-M 'P 1 2/m 1'
_symmetry_Int_Tables_number 10
_cell_length_a 7.4041
_cell_length_b 4.0825
_cell_length_c 8.1132
_cell_angle_alpha 90.00
_cell_angle_beta 106.72
_cell_angle_gamma 90.00
loop_
_symmetry_equiv_pos_as_xyz
'x,y,z'
'-x,-y,-z'
'-x,y,-z'
'x,-y,z'
loop_
_atom_site_label
_atom_site_fract_x
_atom_site_fract_y
_atom_site_fract_z
La1 0.1945 0.0000 0.1801
La2 0.2197 0.5000 0.8168
Se1 0.5000 0.0000 0.0000
I1 0.0000 0.0000 0.5000
I2 0.5000 0.5000 0.5000
N1 0.0000 0.5000 0.0000
```

Computed properties:
VASP energy, eV/atom: -5.69
Uncorrected formation energy, eV/atom: -1.367


[3]
The following is a DFT calculation (PBE) of CsBaSnPt2 after structural relaxation.

CIF file:
```
data_CsBaSnPt2
_chemical_formula_sum 'Cs1 Ba1 Sn1 Pt2'
_symmetry_space_group_name_H-M 'P 4/m m m'
_symmetry_Int_Tables_number 123
_symmetry_space_group_name_Hall '-P 4 2'
_cell_length_a 5.8161
_cell_length_b 5.8161
_cell_length_c 6.2922
_cell_angle_alpha 90.00
_cell_angle_beta 90.00
_cell_angle_gamma 90.00
loop_
_atom_site_label
_atom_site_fract_x
_atom_site_fract_y
_atom_site_fract_z
Cs1 0.0000 0.0000 0.0000
Ba1 0.5000 0.5000 0.5000
Sn1 0.5000 0.5000 0.0000
Pt1 0.0000 0.5000 0.5000
```

Computed properties:
Formation enthalpy at 0 K, eV/atom: 0.77
VASP energy, eV/atom: -3.00


[4]
The following is a DFT calculation (PBE) of PmErBeAg after structural relaxation.

CIF file:
```
data_PmErBeAg
_chemical_formula_sum 'Pm4 Er4 Be4 Ag4'
_symmetry_space_group_name_H-M 'F -4 3 m'
_symmetry_Int_Tables_number 216
_symmetry_space_group_name_Hall 'F -4 2 3'
_cell_length_a 7.1582
_cell_length_b 7.1582
_cell_length_c 7.1582
_cell_angle_alpha 90.00
_cell_angle_beta 90.00
_cell_angle_gamma 90.00
loop_
_atom_site_label
_atom_site_fract_x
_atom_site_fract_y
_atom_site_fract_z
Pm1 0.0000 0.0000 0.0000
Er1 0.0000 0.0000 0.5000
Be1 0.2500 0.2500 0.2500
Ag1 0.2500 0.2500 0.7500
```

Computed properties:
Formation enthalpy at 0 K, eV/atom: -0.04
VASP energy, eV/atom: -4.01


> Among the records above, which one has the highest VASP energy?

CsBaSnPt2